*P*
First-principles (GGA-PBE) data for a relaxed Pm3Ho2Er7 crystal, as listed in the Alexandria database.

Properties
**ρ**: 8.4 g/cm³

a = 5.7819 Å, b = 3.5461 Å, c = 18.6751 Å
α = 90.00°, β = 93.07°, γ = 90.00°
Space group P2/m (No. 10)
Asymmetric unit:
Pm (0.0000, 0.0000, 0.0000) x1
Pm (0.2787, 0.5000, 0.6332) x2
Ho (0.2091, 0.0000, 0.2922) x2
Er (0.1896, 0.5000, 0.1434) x2
Er (0.2428, 0.0000, 0.4621) x2
Er (0.3078, 0.0000, 0.8246) x2
Er (0.5000, 0.5000, 0.0000) x1

=====

*Q*
First-principles (GGA-PBE) data for a relaxed Pm3Ho2Er7 crystal, as listed in the Alexandria database.

Properties
**ρ**: 7.8 g/cm³

a = 6.0573 Å, b = 5.6040 Å, c = 12.1325 Å
α = 90.00°, β = 94.85°, γ = 90.00°
Space group P2/m (No. 10)
Asymmetric unit:
Pm (0.0000, 0.0000, 0.0000) x1
Pm (0.4710, 0.5000, 0.3235) x2
Ho (0.1391, 0.0000, 0.2887) x2
Er (0.0472, 0.5000, 0.8256) x2
Er (0.2720, 0.0000, 0.5593) x2
Er (0.4063, 0.0000, 0.8393) x2
Er (0.5000, 0.5000, 0.0000) x1

=====

Last place for stability: *Q*

=====

*P*
First-principles (GGA-PBE) data for a relaxed Pm2HoEr2 crystal, as listed in the Alexandria database.

Properties
**ρ**: 8.0 g/cm³

a = 5.8369 Å, b = 9.5262 Å, c = 11.7792 Å
α = 90.00°, β = 90.00°, γ = 90.00°
Space group Cmc2_1 (No. 36)
Asymmetric unit:
Pm (0.0000, 0.0511, 0.0000) x4
Pm (0.0000, 0.3470, 0.8372) x4
Ho (0.0000, 0.3537, 0.1495) x4
Er (0.0000, 0.0048, 0.2502) x4
Er (0.0000, 0.2945, 0.4944) x4

=====

*Q*
First-principles (GGA-PBE) data for a relaxed Pm2HoEr2 crystal, as listed in the Alexandria database.

Properties
**ρ**: 8.2 g/cm³

a = 6.1901 Å, b = 3.5710 Å, c = 14.5119 Å
α = 90.00°, β = 90.08°, γ = 90.00°
Space group C2/m (No. 12)
Asymmetric unit:
Pm (0.1659, 0.0000, 0.3956) x4
Ho (0.0000, 0.5000, 0.0000) x2
Er (0.1680, 0.0000, 0.8044) x4

=====

Last place for stability: *P*

=====

*P*
First-principles (GGA-PBE) data for a relaxed Pm6HoEr2 crystal, as listed in the Alexandria database.

Properties
**ρ**: 7.7 g/cm³

a = 16.3382 Å, b = 11.7696 Å, c = 6.2143 Å
α = 90.00°, β = 96.03°, γ = 90.00°
Space group C2/c (No. 15)
Asymmetric unit:
Pm (0.0475, 0.1409, 0.0137) x8
Pm (0.1196, 0.3590, 0.3196) x8
Pm (0.2146, 0.3590, 0.8468) x8
Ho (0.0000, 0.4010, 0.7500) x4
Er (0.1665, 0.0992, 0.5839) x8

=====

*Q*
First-principles (GGA-PBE) data for a relaxed Pm6HoEr2 crystal, as listed in the Alexandria database.

Properties
**ρ**: 7.6 g/cm³

a = 3.6069 Å, b = 9.5253 Å, c = 9.5330 Å
α = 69.06°, β = 79.32°, γ = 79.23°
Space group P-1 (No. 2)
Asymmetric unit:
Pm (0.0577, 0.2182, 0.1688) x2
Pm (0.1668, 0.6703, 0.4973) x2
Pm (0.3872, 0.5582, 0.1666) x2
Ho (0.5000, 0.0000, 0.5000) x1
Er (0.2771, 0.1086, 0.8362) x2

=====

Last place for stability: *P*

=====

*P*
First-principles (GGA-PBE) data for a relaxed PmHo5Er3 crystal, as listed in the Alexandria database.

Properties
**ρ**: 8.0 g/cm³

a = 16.7437 Å, b = 7.9257 Å, c = 12.1335 Å
α = 90.00°, β = 130.56°, γ = 90.00°
Space group C2/m (No. 12)
Asymmetric unit:
Pm (0.2356, 0.0000, 0.1300) x4
Ho (0.0000, 0.3210, 0.0000) x4
Ho (0.0642, 0.2068, 0.7798) x8
Ho (0.1230, 0.0000, 0.5657) x4
Ho (0.2013, 0.5000, 0.0721) x4
Er (0.0000, 0.0000, 0.0000) x2
Er (0.0000, 0.5000, 0.5000) x2
Er (0.1213, 0.5000, 0.3166) x4
Er (0.1710, 0.0000, 0.3387) x4

=====

*Q*
First-principles (GGA-PBE) data for a relaxed PmHo5Er3 crystal, as listed in the Alexandria database.

Properties
**ρ**: 8.7 g/cm³

a = 16.7200 Å, b = 9.6380 Å, c = 6.9697 Å
α = 90.00°, β = 90.00°, γ = 90.00°
Space group Cmcm (No. 63)
Asymmetric unit:
Pm (0.0000, 0.1932, 0.2500) x4
Ho (0.0000, 0.1423, 0.7500) x4
Ho (0.1547, 0.3459, 0.7500) x8
Ho (0.1780, 0.3218, 0.2500) x8
Er (0.0000, 0.5000, 0.0000) x4
Er (0.1693, 0.0000, 0.0000) x8

=====

Last place for stability: *P*

=====

*P*
First-principles (GGA-PBE) data for a relaxed PmHo2Er7 crystal, as listed in the Alexandria database.

Properties
**ρ**: 7.1 g/cm³

a = 8.6695 Å, b = 16.1433 Å, c = 5.5214 Å
α = 90.00°, β = 90.00°, γ = 90.00°
Space group Cmmm (No. 65)
Asymmetric unit:
Pm (0.0000, 0.0000, 0.0000) x2
Ho (0.0000, 0.2970, 0.5000) x4
Er (0.0000, 0.2120, 0.0000) x4
Er (0.0000, 0.5000, 0.5000) x2
Er (0.1765, 0.1142, 0.5000) x8

=====

*Q*
First-principles (GGA-PBE) data for a relaxed PmHo2Er7 crystal, as listed in the Alexandria database.

Properties
**ρ**: 8.9 g/cm³

a = 6.0994 Å, b = 7.0442 Å, c = 7.8628 Å
α = 102.86°, β = 97.41°, γ = 106.68°
Space group P-1 (No. 2)
Asymmetric unit:
Pm (0.0000, 0.0000, 0.0000) x1
Ho (0.3993, 0.7988, 0.7982) x2
Er (0.0000, 0.5000, 0.0000) x1
Er (0.2004, 0.4005, 0.4005) x2
Er (0.1997, 0.8998, 0.4007) x2
Er (0.4008, 0.3005, 0.7992) x2

=====

Last place for stability: *P*